1.
Density functional theory data (PBE-GGA) for an optimized crystal structure of Cd2CuMoPt.

## Properties
ΔH_f (0 K) in eV/atom: 0.944
E in eV per atom: -3.616

a = 4.7377 Å, b = 4.7377 Å, c = 4.7366 Å
α = 90.00°, β = 90.00°, γ = 90.00°
Sites, in units of the cell vectors:
Cd1 0.0000 0.5000 0.0000
Cd2 0.5000 0.0000 0.0000
Cu1 0.0000 0.0000 0.0000
Mo1 0.5000 0.5000 0.5000
Pt1 0.0000 0.0000 0.5000


2.
Density functional theory data (PBE-GGA) for an optimized crystal structure of CdCu2SiMo.

## Properties
E_form (uncorrected) in eV per formula unit: 2.52
E in eV per atom: -4.568

a = 4.3569 Å, b = 4.3569 Å, c = 4.6206 Å
α = 90.00°, β = 90.00°, γ = 90.00°
Sites, in units of the cell vectors:
Cd1 0.0000 0.0000 0.0000
Cu1 0.0000 0.5000 0.5000
Cu2 0.5000 0.0000 0.5000
Si1 0.5000 0.5000 0.5000
Mo1 0.5000 0.5000 0.0000


3.
Density functional theory data (PBE-GGA) for an optimized crystal structure of Sr2CdCuMo.

## Properties
ΔH_f (0 K) in eV/atom: 1.036
E in eV per atom: -2.806

a = 5.6778 Å, b = 5.6778 Å, c = 5.2707 Å
α = 90.00°, β = 90.00°, γ = 90.00°
Sites, in units of the cell vectors:
Sr1 0.0000 0.5000 0.0000
Sr2 0.5000 0.0000 0.0000
Cd1 0.0000 0.0000 0.5000
Cu1 0.5000 0.5000 0.5000
Mo1 0.0000 0.0000 0.0000


4.
Density functional theory data (PBE-GGA) for an optimized crystal structure of Ta2CdCuMo.

## Properties
ΔH_f (0 K) in eV/atom: 2.111
E in eV per atom: -5.799

a = 4.9677 Å, b = 4.9677 Å, c = 4.3781 Å
α = 90.00°, β = 90.00°, γ = 90.00°
Sites, in units of the cell vectors:
Ta1 0.0000 0.5000 0.0000
Ta2 0.5000 0.0000 0.0000
Cd1 0.0000 0.0000 0.0000
Cu1 0.0000 0.0000 0.5000
Mo1 0.5000 0.5000 0.5000


5.
Density functional theory data (PBE-GGA) for an optimized crystal structure of TlCd2CuMo.

## Properties
ΔH_f (0 K) in eV/atom: 1.240
E in eV per atom: -2.585

a = 5.4086 Å, b = 5.4086 Å, c = 5.4297 Å
α = 90.00°, β = 90.00°, γ = 90.00°
Sites, in units of the cell vectors:
Tl1 0.0000 0.0000 0.0000
Cd1 0.0000 0.5000 0.5000
Cd2 0.5000 0.0000 0.5000
Cu1 0.5000 0.5000 0.0000
Mo1 0.0000 0.0000 0.5000


6.
Density functional theory data (PBE-GGA) for an optimized crystal structure of ZnCdCu2Mo.

## Properties
ΔH_f (0 K) in eV/atom: 1.485
E in eV per atom: -2.757

a = 4.7250 Å, b = 4.7250 Å, c = 5.1924 Å
α = 90.00°, β = 90.00°, γ = 90.00°
Sites, in units of the cell vectors:
Zn1 0.0000 0.0000 0.0000
Cd1 0.5000 0.5000 0.5000
Cu1 0.0000 0.5000 0.5000
Cu2 0.5000 0.0000 0.5000
Mo1 0.5000 0.5000 0.0000